Ca2LaCeAu4: relaxed, PBE.

Results
For the calculated volume, the calculation gives 25.2 Å³ per atom. The energy of formation comes out at -6.12 eV per formula unit.

```
Ca2LaCeAu4
1.0
2.6117 1.5079 8.5407
-2.6117 1.5079 8.5407
0.0000 -3.0157 8.5407
Ca La Ce Au
2 1 1 4
direct
0.2504 0.2504 0.2504
0.7496 0.7496 0.7496
0.5000 0.5000 0.5000
0.0000 0.0000 0.0000
0.1230 0.1230 0.1230
0.3732 0.3732 0.3732
0.6268 0.6268 0.6268
0.8770 0.8770 0.8770
```



RbAgPb2I6: relaxed, PBE.

Results
The calculation puts the formation energy from raw total energies at -15.83 kcal/mol of atoms. For the calculated volume, the calculation gives 44.5 Å³ per atom.

```
RbAgPb2I6
1.0
8.2765 0.0000 0.0000
-4.1346 7.1960 0.0000
-4.1327 -2.3816 7.4739
Rb Ag Pb I
1 1 2 6
direct
0.0000 0.0000 0.0000
0.9675 0.4834 0.4500
0.5799 0.2901 0.8684
0.6050 0.8028 0.4064
0.0995 0.4466 0.1817
0.1029 0.2255 0.6565
0.4315 0.8777 0.6561
0.5292 0.0825 0.1796
0.7333 0.6508 0.1789
0.7814 0.5549 0.6563
```



HgOsO2F: relaxed, PBE.

Results
The calculation puts the formation energy from raw total energies at -13.70 kcal/mol of atoms. For the calculated volume, the calculation gives 14.1 Å³ per atom.

```
HgOsO2F
1.0
3.8149 0.0000 0.0000
0.0000 3.8149 0.0000
0.0000 0.0000 4.8387
Hg Os O F
1 1 2 1
direct
0.0000 0.0000 0.0000
0.5000 0.5000 0.5000
0.0000 0.5000 0.5000
0.5000 0.0000 0.5000
0.5000 0.5000 0.0000
```



Q: Look up the calculated volume of the first one.
A: 25.2 Å³ per atom



Q: What is the formula in the second record?
A: RbAgPb2I6